[1]
{"formula": "TbCeTmLu", "functional": "PBE", "state": "relaxed", "dft_energy_ev_per_atom": -4.756, "formation_enthalpy_0k_ev_per_fu": 0.53, "space_group": "F-43m (216)", "n_ef_per_ev_cell": 32.10, "density_g_cm3": 8.62, "lattice_angstrom": [[7.9114, 0.0000, 0.0000], [0.0000, 7.9114, 0.0000], [0.0000, 0.0000, 7.9114]], "species": ["Tb", "Tb", "Tb", "Tb", "Ce", "Ce", "Ce", "Ce", "Tm", "Tm", "Tm", "Tm", "Lu", "Lu", "Lu", "Lu"], "frac_coords": [[0.0000, 0.0000, 0.0000], [0.0000, 0.5000, 0.5000], [0.5000, 0.0000, 0.5000], [0.5000, 0.5000, 0.0000], [0.0000, 0.0000, 0.5000], [0.0000, 0.5000, 0.0000], [0.5000, 0.0000, 0.0000], [0.5000, 0.5000, 0.5000], [0.2500, 0.2500, 0.2500], [0.2500, 0.7500, 0.7500], [0.7500, 0.2500, 0.7500], [0.7500, 0.7500, 0.2500], [0.2500, 0.2500, 0.7500], [0.2500, 0.7500, 0.2500], [0.7500, 0.2500, 0.2500], [0.7500, 0.7500, 0.7500]]}

***

[2]
{"formula": "CePm7Er12", "functional": "PBE", "state": "relaxed", "dft_energy_ev_per_atom": -4.457, "formation_enthalpy_0k_ev_per_fu": 4.81, "space_group": "R-3 (148)", "n_ef_per_ev_cell": 38.88, "density_g_cm3": 8.05, "lattice_angstrom": [[6.1393, 3.5445, 4.9961], [-6.1393, 3.5445, 4.9961], [0.0000, -7.0890, 4.9961]], "species": ["Ce", "Pm", "Pm", "Pm", "Pm", "Pm", "Pm", "Pm", "Er", "Er", "Er", "Er", "Er", "Er", "Er", "Er", "Er", "Er", "Er", "Er"], "frac_coords": [[0.0000, 0.0000, 0.0000], [0.0349, 0.3292, 0.9343], [0.0657, 0.9651, 0.6708], [0.3292, 0.9343, 0.0349], [0.5000, 0.5000, 0.5000], [0.6708, 0.0657, 0.9651], [0.9343, 0.0349, 0.3292], [0.9651, 0.6708, 0.0657], [0.1257, 0.3548, 0.4566], [0.2269, 0.7656, 0.3725], [0.2344, 0.6275, 0.7731], [0.3548, 0.4566, 0.1257], [0.3725, 0.2269, 0.7656], [0.4566, 0.1257, 0.3548], [0.5434, 0.8743, 0.6452], [0.6275, 0.7731, 0.2344], [0.6452, 0.5434, 0.8743], [0.7656, 0.3725, 0.2269], [0.7731, 0.2344, 0.6275], [0.8743, 0.6452, 0.5434]]}